# CaY2ZnC, optimized geometry, DFT PBE-GGA
# Formation energy from the elements in eV/atom: -0.11
# ΔE to the lowest computed polymorph in kcal/mol of atoms: 0.00
# Volume in Å³/atom: 24.27
# Total DFT energy (no corrections) in eV per atom: -5.20
# Magnetic moment in μB/cell: 0.0
data_CaY2ZnC
_cell_length_a 4.867
_cell_length_b 4.867
_cell_length_c 5.122
_cell_angle_alpha 90.00
_cell_angle_beta 90.00
_cell_angle_gamma 90.00
_space_group_name_H-M_alt 'P 4/m m m'
_space_group_IT_number 123
_space_group_name_Hall '-P 4 2'
loop_
_atom_site_label
_atom_site_fract_x
_atom_site_fract_y
_atom_site_fract_z
Ca1 0.000 0.000 0.000
Y1 0.000 0.500 0.500
Zn1 0.500 0.500 0.000
C1 0.000 0.000 0.500

***

# Pr2Cu5Ni5, optimized geometry, DFT PBE-GGA
# Formation energy from the elements in eV/atom: -0.23
# Volume in Å³/atom: 14.85
# Total DFT energy (no corrections) in eV per atom: -5.15
# Magnetic moment in μB/cell: 0.0
data_Pr2Cu5Ni5
_cell_length_a 3.979
_cell_length_b 5.092
_cell_length_c 8.795
_cell_angle_alpha 90.00
_cell_angle_beta 90.00
_cell_angle_gamma 90.00
_space_group_name_H-M_alt 'P m m m'
_space_group_IT_number 47
_space_group_name_Hall '-P 2 2'
loop_
_atom_site_label
_atom_site_fract_x
_atom_site_fract_y
_atom_site_fract_z
Pr1 0.000 0.000 0.000
Pr2 0.000 0.500 0.500
Cu1 0.000 0.000 0.330
Cu2 0.000 0.500 0.167
Cu3 0.500 0.000 0.500
Ni1 0.500 0.251 0.249
Ni2 0.500 0.500 0.000

***

# Al3CuSi3, optimized geometry, DFT PBE-GGA
# ΔE to the lowest computed polymorph in kcal/mol of atoms: 0.00
# Volume in Å³/atom: 16.04
# Total DFT energy (no corrections) in eV per atom: -4.36
# Magnetic moment in μB/cell: 0.0
data_Al3CuSi3
_cell_length_a 3.458
_cell_length_b 6.473
_cell_length_c 10.029
_cell_angle_alpha 90.00
_cell_angle_beta 90.00
_cell_angle_gamma 90.00
_space_group_name_H-M_alt 'P m m n'
_space_group_IT_number 59
loop_
_space_group_symop_operation_xyz
'x,y,z'
'-x,-y,-z'
'-x+1/2,-y+1/2,z'
'x+1/2,y+1/2,-z'
'x+1/2,-y,-z'
'-x+1/2,y,z'
'-x,y+1/2,-z'
'x,-y+1/2,z'
loop_
_atom_site_label
_atom_site_fract_x
_atom_site_fract_y
_atom_site_fract_z
Al1 0.250 0.038 0.136
Al2 0.250 0.250 0.659
Cu1 0.250 0.750 0.724
Si1 0.250 0.054 0.412
Si2 0.250 0.250 0.914

***

# CsHI2O, optimized geometry, DFT PBE-GGA
# Volume in Å³/atom: 57.04
# Total DFT energy (no corrections) in eV per atom: -1.80
# Magnetic moment in μB/cell: 2.7
data_CsHI2O
_cell_length_a 8.009
_cell_length_b 8.009
_cell_length_c 4.446
_cell_angle_alpha 90.00
_cell_angle_beta 90.00
_cell_angle_gamma 90.00
_space_group_name_H-M_alt 'P 4/m m m'
_space_group_IT_number 123
_space_group_name_Hall '-P 4 2'
loop_
_atom_site_label
_atom_site_fract_x
_atom_site_fract_y
_atom_site_fract_z
Cs1 0.000 0.000 0.000
H1 0.500 0.500 0.500
I1 0.000 0.500 0.000
O1 0.000 0.000 0.500